A plane-wave DFT calculation with PBE was carried out for an optimized crystal structure of SmHfCu2Ge2.

Structure (extended XYZ):
```
6
Lattice="4.2385 0.0000 0.0000 -2.1193 3.6707 0.0000 0.0000 0.0000 6.9939" Properties=species:S:1:pos:R:3 pbc="T T T"
Ge 2.1193 1.2236 0.1256
Cu 2.1193 1.2236 3.0635
Ge 0.0000 2.4471 3.3654
Sm 0.0000 0.0000 5.2452
Cu 0.0000 2.4471 0.4407
Hf 0.0000 0.0000 1.7475
```

Calculated values
- E: -5.799 eV/atom
- M_tot: 0.00 μB per cell

A plane-wave DFT calculation with PBE was carried out for an optimized crystal structure of NbFePd.

Structure (extended XYZ):
```
3
Lattice="-2.7276 0.5866 3.0269 -3.7696 -1.6299 -0.2818 -1.0736 -3.1371 2.4397" Properties=species:S:1:pos:R:3 pbc="T T T"
Nb -1.8927 -1.0451 1.2962
Pd -5.6782 -3.1353 3.8887
Fe 0.0000 0.0000 0.0000
```

Calculated values
- Calculated formation energy: 0.3418 eV per atom
- M_tot: 0.67 μB per cell
- ΔE to the lowest computed polymorph: 0 meV per atom

A plane-wave DFT calculation with PBE was carried out for an optimized crystal structure of SmNbTe.

Structure (extended XYZ):
```
3
Lattice="0.0000 3.6222 3.6222 3.6222 0.0000 3.6222 3.6222 3.6222 0.0000" Properties=species:S:1:pos:R:3 pbc="T T T"
Sm 0.0000 0.0000 0.0000
Te 5.4333 5.4333 5.4333
Nb 1.8111 1.8111 1.8111
```

Calculated values
- M_tot: 3.86 μB per cell
- ΔE to the lowest computed polymorph: 613 meV per atom

A plane-wave DFT calculation with PBE was carried out for an optimized crystal structure of ZrCuAsPt.

Structure (extended XYZ):
```
4
Lattice="0.0000 3.2323 3.2323 3.2323 0.0000 3.2323 3.2323 3.2323 0.0000" Properties=species:S:1:pos:R:3 pbc="T T T"
As 0.0000 0.0000 0.0000
Pt 3.2323 3.2323 3.2323
Cu 4.8485 4.8485 4.8485
Zr 1.6162 1.6162 1.6162
```

Calculated values
- M_tot: 0.00 μB per cell
- ΔE to the lowest computed polymorph: 0 meV per atom

A plane-wave DFT calculation with PBE was carried out for an optimized crystal structure of BaHgSeO.

Structure (extended XYZ):
```
8
Lattice="0.0173 3.4542 -2.4545 -0.3012 -3.7180 -5.2344 -7.0337 1.9419 -0.9746" Properties=species:S:1:pos:R:3 pbc="T T T"
O -0.1506 -1.8590 -2.6172
Se -4.1245 0.7852 -6.2398
Se -3.1930 0.8930 -2.4237
Hg -5.5763 -0.8979 -4.9608
Ba -1.4629 -1.0234 -5.1084
O 0.0000 0.0000 0.0000
Hg -1.7413 2.5761 -3.7027
Ba -5.8547 2.7015 -3.5552
```

Calculated values
- E: -3.914 eV/atom

A plane-wave DFT calculation with PBE was carried out for an optimized crystal structure of HfZn.

Structure (extended XYZ):
```
12
Lattice="-0.3021 4.7206 -3.2302 -8.4990 -0.9717 -0.6244 -0.5518 2.4721 3.6643" Properties=species:S:1:pos:R:3 pbc="T T T"
Hf -2.0607 2.1076 -1.7322
Hf -5.4706 4.0954 -3.5867
Zn -2.5572 4.3640 -3.3292
Zn -4.9658 1.7110 -1.9021
Zn -1.0209 2.7560 0.6946
Hf -3.8233 1.8678 0.8718
Hf -4.0935 4.2145 -0.7521
Hf -6.8291 2.1214 0.2480
Zn -7.7712 2.1003 -2.5872
Hf -1.1639 5.1472 -0.9401
Zn -6.9681 4.4530 -1.3459
Zn -8.0391 -0.3078 -1.0030
```

Calculated values
- Calculated formation energy: -0.1197 eV per atom
- M_tot: 0.01 μB per cell

A plane-wave DFT calculation with PBE was carried out for an optimized crystal structure of Cu5Ag2.

Structure (extended XYZ):
```
7
Lattice="4.4168 -1.3612 0.0000 4.4168 1.3612 0.0000 -0.6213 0.0000 7.9846" Properties=species:S:1:pos:R:3 pbc="T T T"
Ag 1.1749 0.0000 0.6859
Cu 4.6457 0.0000 6.0618
Cu 2.1700 0.0000 5.0046
Cu -0.3107 0.0000 3.9923
Cu 6.0424 0.0000 2.9800
Ag 7.0375 0.0000 7.2987
Cu 3.5667 0.0000 1.9228
```

Calculated values
- Calculated formation energy: 0.0743 eV per atom
- ΔE to the lowest computed polymorph: 23 meV per atom

A plane-wave DFT calculation with PBE was carried out for an optimized crystal structure of PaGeIr.

Structure (extended XYZ):
```
3
Lattice="2.2758 1.3139 3.7163 -2.2758 1.3139 3.7163 0.0000 -2.6278 3.7163" Properties=species:S:1:pos:R:3 pbc="T T T"
Ge 0.0000 0.0000 8.3616
Pa 0.0000 0.0000 2.7872
Ir 0.0000 0.0000 0.0000
```

Calculated values
- E: -8.308 eV/atom
- M_tot: 0.00 μB per cell

A plane-wave DFT calculation with PBE was carried out for an optimized crystal structure of TaInCuMo.

Structure (extended XYZ):
```
4
Lattice="0.0000 3.2339 3.2339 3.2339 0.0000 3.2339 3.2339 3.2339 0.0000" Properties=species:S:1:pos:R:3 pbc="T T T"
Cu 4.8508 4.8508 4.8508
In 0.0000 0.0000 0.0000
Mo 1.6169 1.6169 1.6169
Ta 3.2339 3.2339 3.2339
```

Calculated values
- M_tot: 0.00 μB per cell
- ΔE to the lowest computed polymorph: 0 meV per atom

A plane-wave DFT calculation with PBE was carried out for an optimized crystal structure of PuAgAs.

Structure (extended XYZ):
```
3
Lattice="0.0000 3.3135 3.3135 3.3135 0.0000 3.3135 3.3135 3.3135 0.0000" Properties=species:S:1:pos:R:3 pbc="T T T"
As 0.0000 0.0000 0.0000
Pu 4.9702 4.9702 4.9702
Ag 1.6567 1.6567 1.6567
```

Calculated values
- E: -7.645 eV/atom
- M_tot: 5.96 μB per cell

A plane-wave DFT calculation with PBE was carried out for an optimized crystal structure of ZrBeCoPb.

Structure (extended XYZ):
```
4
Lattice="0.0000 3.1854 3.1854 3.1854 0.0000 3.1854 3.1854 3.1854 0.0000" Properties=species:S:1:pos:R:3 pbc="T T T"
Zr 3.1854 3.1854 3.1854
Pb 0.0000 0.0000 0.0000
Be 1.5927 1.5927 1.5927
Co 4.7781 4.7781 4.7781
```

Calculated values
- M_tot: 0.02 μB per cell
- ΔE to the lowest computed polymorph: 0 meV per atom

A plane-wave DFT calculation with PBE was carried out for an optimized crystal structure of UTlAg.

Structure (extended XYZ):
```
3
Lattice="0.0000 3.4198 3.4198 3.4198 0.0000 3.4198 3.4198 3.4198 0.0000" Properties=species:S:1:pos:R:3 pbc="T T T"
U 5.1297 5.1297 5.1297
Tl 1.7099 1.7099 1.7099
Ag 0.0000 0.0000 0.0000
```

Calculated values
- E: -4.918 eV/atom
- M_tot: 2.18 μB per cell

A plane-wave DFT calculation with PBE was carried out for an optimized crystal structure of LiTmZn.

Structure (extended XYZ):
```
3
Lattice="4.5026 -0.8404 0.4298 1.6653 -1.6438 3.9609 1.5186 -4.3363 0.2335" Properties=species:S:1:pos:R:3 pbc="T T T"
Zn 0.0000 0.0000 0.0000
Tm 5.7649 -5.1153 3.4681
Li 1.9216 -1.7051 1.1560
```

Calculated values
- M_tot: 0.11 μB per cell
- ΔE to the lowest computed polymorph: 0 meV per atom

A plane-wave DFT calculation with PBE was carried out for an optimized crystal structure of LaInNiSe3.

Structure (extended XYZ):
```
12
Lattice="-0.9849 -3.0857 -2.2407 5.3388 -4.8233 0.8342 -5.4451 -4.5334 8.6362" Properties=species:S:1:pos:R:3 pbc="T T T"
Se -2.0367 -5.1675 4.5498
La -2.7226 -2.2667 4.3181
La 0.0000 0.0000 0.0000
Se 2.6716 -5.8378 -0.0580
Se -1.4419 -4.7277 0.2214
In -2.1937 -8.1032 5.2001
Se -3.7628 -6.6047 7.2876
In 1.1024 -4.3393 2.0295
Se 0.9454 -7.2749 2.6798
Ni 3.1812 -7.3286 1.7710
Ni -4.2725 -5.1138 5.4586
Se 0.3507 -7.7147 7.0082
```

Calculated values
- E: -4.842 eV/atom
- M_tot: 1.21 μB per cell

A plane-wave DFT calculation with PBE was carried out for an optimized crystal structure of NaLaAu2.

Structure (extended XYZ):
```
4
Lattice="-1.5227 3.0107 3.9347 1.6623 -3.5673 3.3728 3.3025 1.5940 0.0583" Properties=species:S:1:pos:R:3 pbc="T T T"
Au 0.8899 2.3024 1.9965
La 0.0000 0.0000 0.0000
Au 2.4824 -0.9866 1.7156
Na 0.0698 -0.2783 3.6538
```

Calculated values
- M_tot: 0.00 μB per cell
- ΔE to the lowest computed polymorph: 58 meV per atom

A plane-wave DFT calculation with PBE was carried out for an optimized crystal structure of DyY2Cu4Ge4.

Structure (extended XYZ):
```
11
Lattice="1.1654 1.4147 7.7769 -3.3108 6.3297 3.5795 -0.8275 -6.8718 -3.9916" Properties=species:S:1:pos:R:3 pbc="T T T"
Cu -1.3308 3.4891 8.7741
Y -2.8631 2.5949 3.9966
Cu -1.6421 -2.6165 -1.4094
Ge -1.0079 2.8255 6.4042
Ge -1.9650 -1.9529 0.9605
Cu -2.3680 0.0041 2.4333
Y -0.1098 -1.7223 3.3682
Ge -0.4650 1.6786 2.4615
Dy 0.0000 0.0000 0.0000
Cu -0.6049 0.8685 4.9314
Ge -1.6804 6.0658 8.8948
```

Calculated values
- E: -5.263 eV/atom
- M_tot: 0.01 μB per cell

A plane-wave DFT calculation with PBE was carried out for an optimized crystal structure of NaHgAsPt.

Structure (extended XYZ):
```
4
Lattice="-4.1938 -2.2224 -0.3743 -3.2716 1.5913 -3.0711 -1.0190 -2.5184 -3.9098" Properties=species:S:1:pos:R:3 pbc="T T T"
As -2.1211 -0.7874 -1.8388
Na -6.3633 -2.3621 -5.5164
Hg 0.0000 0.0000 0.0000
Pt -4.2422 -1.5748 -3.6776
```

Calculated values
- M_tot: 0.00 μB per cell
- ΔE to the lowest computed polymorph: 124 meV per atom

A plane-wave DFT calculation with PBE was carried out for an optimized crystal structure of MgNbCuB.

Structure (extended XYZ):
```
4
Lattice="0.0000 3.0121 3.0121 3.0121 0.0000 3.0121 3.0121 3.0121 0.0000" Properties=species:S:1:pos:R:3 pbc="T T T"
Nb 3.0121 3.0121 3.0121
B 0.0000 0.0000 0.0000
Cu 1.5061 1.5061 1.5061
Mg 4.5182 4.5182 4.5182
```

Calculated values
- M_tot: 1.04 μB per cell
- ΔE to the lowest computed polymorph: 300 meV per atom

A plane-wave DFT calculation with PBE was carried out for an optimized crystal structure of La2PmN3.

Structure (extended XYZ):
```
6
Lattice="3.6787 0.0000 0.0000 -1.8394 3.1859 0.0000 0.0000 0.0000 9.0332" Properties=species:S:1:pos:R:3 pbc="T T T"
La 1.8394 1.0619 1.5370
N 0.0000 0.0000 0.0000
N 0.0000 2.1239 3.0643
Pm 0.0000 0.0000 4.5166
La 0.0000 2.1239 7.4962
N 1.8394 1.0619 5.9689
```

Calculated values
- E: -7.944 eV/atom
- M_tot: 0.00 μB per cell

A plane-wave DFT calculation with PBE was carried out for an optimized crystal structure of Si2NiSn.

Structure (extended XYZ):
```
4
Lattice="2.2631 1.3066 3.6957 -2.2631 1.3066 3.6957 0.0000 -2.6133 3.6957" Properties=species:S:1:pos:R:3 pbc="T T T"
Sn 0.0000 0.0000 5.5435
Si 0.0000 0.0000 2.7718
Si 0.0000 0.0000 0.0000
Ni 0.0000 0.0000 8.3153
```

Calculated values
- E: -4.678 eV/atom
- M_tot: 0.00 μB per cell

A plane-wave DFT calculation with PBE was carried out for an optimized crystal structure of ScSnPd2.

Structure (extended XYZ):
```
4
Lattice="3.4302 0.0000 0.0000 0.0000 3.4302 0.0000 0.0000 0.0000 6.2544" Properties=species:S:1:pos:R:3 pbc="T T T"
Pd 1.7151 1.7151 1.6437
Sn 0.0000 0.0000 0.0000
Pd 1.7151 1.7151 4.6107
Sc 0.0000 0.0000 3.1272
```

Calculated values
- E: -5.913 eV/atom
- M_tot: 0.01 μB per cell

A plane-wave DFT calculation with PBE was carried out for an optimized crystal structure of TmSiHO4.

Structure (extended XYZ):
```
42
Lattice="-0.4864 -4.4620 -7.9614 -6.8395 -2.1635 5.6630 0.9416 9.0260 -1.0836" Properties=species:S:1:pos:R:3 pbc="T T T"
Tm -0.3135 1.3770 -7.0711
O -5.2519 2.7443 -0.4758
Tm -3.1140 -3.7411 -5.2743
O -5.6955 2.4185 2.1395
O -4.6831 -0.3542 2.5228
H -2.8896 -0.8606 -0.3337
O -5.8887 -2.6850 -1.8609
O -1.9457 5.1846 0.5440
Si -4.5849 2.9381 1.0782
O -3.0418 -0.4946 0.5912
O -5.6206 0.1148 -0.1275
O -1.4091 4.7059 -4.3284
O -4.7834 4.5827 1.2111
O -4.9751 -2.3054 0.9464
O -0.4955 5.0854 -1.5211
Tm -3.2703 6.1416 1.8923
Tm -6.0707 1.0235 3.6891
Tm -0.3117 6.2883 -3.4455
O -1.1900 2.8553 -0.5266
O -3.2260 4.2855 -1.6875
H -1.0262 0.6488 -2.7798
O -1.6008 -2.1822 -4.5931
Si -1.6820 3.1079 -4.2810
Si -4.7023 -0.7075 0.8990
H -5.3580 1.7516 -0.6022
O -5.1942 -0.4549 -2.8554
Si -4.5315 -1.9858 -2.5175
O -0.6887 -0.0180 -5.5216
O -0.7637 2.2857 -3.2545
Tm -6.0725 -3.8878 0.0635
O -3.1583 -1.8850 -1.6945
H -4.5136 0.0130 -3.4303
O -3.3425 2.8950 -3.9732
O -1.7012 2.7547 -5.9048
O -3.2447 0.1460 -4.5903
H -3.4947 3.2611 -3.0483
O -4.4385 -2.7841 -3.9260
O -1.1324 -0.3438 -2.9062
Si -1.7994 -0.5376 -4.4602
H -1.8706 2.3874 0.0483
O -3.1396 2.2545 1.2083
Si -1.8527 4.3863 -0.8645
```

Calculated values
- M_tot: 0.00 μB per cell
- ΔE to the lowest computed polymorph: 93 meV per atom

The calculation returns the following volume values, one per record and in order: 108.8; 49.3; 95.0; 67.5; 192.0; 218.8; 96.0; 66.7; 67.6; 72.8; 64.6; 80.0; 68.8; 306.7; 98.5; 194.0; 76.3; 54.7; 105.9; 65.6; 73.6; 508.3 Å³/cell.